A plane-wave DFT calculation with PBE was carried out for Tb2PrTm7 after structural relaxation.

a = 5.509 Å, b = 8.378 Å, c = 8.378 Å
α = 84.81°, β = 70.89°, γ = 70.89°
Fractional coordinates of all 10 atoms:
1 Tm 0.000 0.336 0.664
2 Tm 0.000 0.664 0.336
3 Tm 0.254 0.897 0.594
4 Tb 0.500 0.838 0.162
5 Tb 0.500 0.162 0.838
6 Tm 0.500 0.500 0.500
7 Pr 0.000 0.000 0.000
8 Tm 0.746 0.103 0.406
9 Tm 0.746 0.406 0.103
10 Tm 0.254 0.594 0.897

Computed properties:
SG ... C2/m, No. 12
Energy above the lowest structure with this stoichiometry ... 0.0000 eV per atom
Energy of formation from the pure elements ... 413 meV/atom
N(E_F) ... 14.913 states/eV/f.u.
E ... -4.121 eV per atom
Calculated density ... 7.90 Mg/m³